Entry 1:
VASP calculation (SCAN) on a PBEsol-optimized structure of BeAlH5.

Total energy in eV/atom: -4.28

CIF file:
```
data_BeAlH5
_chemical_formula_sum 'Be2 Al2 H10'
_symmetry_space_group_name_H-M 'P 1 21 1'
_symmetry_Int_Tables_number 4
_cell_length_a 4.548
_cell_length_b 4.203
_cell_length_c 6.068
_cell_angle_alpha 90.00
_cell_angle_beta 95.15
_cell_angle_gamma 90.00
loop_
_symmetry_equiv_pos_as_xyz
'x,y,z'
'-x,y+1/2,-z'
loop_
_atom_site_label
_atom_site_type_symbol
_atom_site_fract_x
_atom_site_fract_y
_atom_site_fract_z
_atom_site_occupancy
Be1 Be 0.000 0.000 0.116 1
Al1 Al 0.244 0.722 0.502 1
H1 H 0.082 0.054 0.597 1
H2 H 0.135 0.290 0.048 1
H3 H 0.254 0.559 0.764 1
H4 H 0.260 0.872 0.237 1
H5 H 0.423 0.392 0.413 1
```

---

Entry 2:
VASP calculation (SCAN) on a PBEsol-optimized structure of Be2AlH.

Energy above the lowest structure with this stoichiometry in eV/f.u.: 2.00

CIF file:
```
data_Be2AlH
_chemical_formula_sum 'Be8 Al4 H4'
_symmetry_space_group_name_H-M 'F m -3 m'
_symmetry_Int_Tables_number 225
_symmetry_space_group_name_Hall '-F 4 2 3'
_cell_length_a 5.461
_cell_length_b 5.461
_cell_length_c 5.461
_cell_angle_alpha 90.00
_cell_angle_beta 90.00
_cell_angle_gamma 90.00
loop_
_atom_site_label
_atom_site_type_symbol
_atom_site_fract_x
_atom_site_fract_y
_atom_site_fract_z
_atom_site_occupancy
Be1 Be 0.250 0.250 0.250 1
Al1 Al 0.000 0.000 0.000 1
H1 H 0.000 0.000 0.500 1
```

---

Entry 3:
VASP calculation (SCAN) on a PBEsol-optimized structure of Be2AlSiH.

Total energy in eV/atom: -4.46

CIF file:
```
data_Be2AlSiH
_chemical_formula_sum 'Be2 Al1 Si1 H1'
_symmetry_space_group_name_H-M 'P 4/m m m'
_symmetry_Int_Tables_number 123
_symmetry_space_group_name_Hall '-P 4 2'
_cell_length_a 4.322
_cell_length_b 4.322
_cell_length_c 4.822
_cell_angle_alpha 90.00
_cell_angle_beta 90.00
_cell_angle_gamma 90.00
loop_
_atom_site_label
_atom_site_type_symbol
_atom_site_fract_x
_atom_site_fract_y
_atom_site_fract_z
_atom_site_occupancy
Be1 Be 0.000 0.500 0.000 1
Al1 Al 0.000 0.000 0.000 1
Si1 Si 0.000 0.000 0.500 1
H1 H 0.500 0.500 0.500 1
```

---

Entry 4:
VASP calculation (SCAN) on a PBEsol-optimized structure of Hf2Be2Al.

Total energy in eV/atom: -28.69

CIF file:
```
data_Hf2Be2Al
_chemical_formula_sum 'Hf4 Be4 Al2'
_symmetry_space_group_name_H-M 'P 4/m b m'
_symmetry_Int_Tables_number 127
_symmetry_space_group_name_Hall '-P 4 2ab'
_cell_length_a 6.237
_cell_length_b 6.237
_cell_length_c 3.832
_cell_angle_alpha 90.00
_cell_angle_beta 90.00
_cell_angle_gamma 90.00
loop_
_atom_site_label
_atom_site_type_symbol
_atom_site_fract_x
_atom_site_fract_y
_atom_site_fract_z
_atom_site_occupancy
Hf1 Hf 0.170 0.330 0.000 1
Be1 Be 0.123 0.623 0.500 1
Al1 Al 0.000 0.000 0.500 1
```

---

Entry 5:
VASP calculation (SCAN) on a PBEsol-optimized structure of BeAl4Hg.

Total energy in eV/atom: -16.78

CIF file:
```
data_BeAl4Hg
_chemical_formula_sum 'Be4 Al16 Hg4'
_symmetry_space_group_name_H-M 'F -4 3 m'
_symmetry_Int_Tables_number 216
_symmetry_space_group_name_Hall 'F -4 2 3'
_cell_length_a 7.502
_cell_length_b 7.502
_cell_length_c 7.502
_cell_angle_alpha 90.00
_cell_angle_beta 90.00
_cell_angle_gamma 90.00
loop_
_atom_site_label
_atom_site_type_symbol
_atom_site_fract_x
_atom_site_fract_y
_atom_site_fract_z
_atom_site_occupancy
Be1 Be 0.000 0.000 0.000 1
Al1 Al 0.126 0.126 0.374 1
Hg1 Hg 0.250 0.250 0.750 1
```

---

Entry 6:
VASP calculation (SCAN) on a PBEsol-optimized structure of K2BeAlHg.

Total energy in eV/atom: -18.88

CIF file:
```
data_K2BeAlHg
_chemical_formula_sum 'K2 Be1 Al1 Hg1'
_symmetry_space_group_name_H-M 'P 4/m m m'
_symmetry_Int_Tables_number 123
_symmetry_space_group_name_Hall '-P 4 2'
_cell_length_a 6.086
_cell_length_b 6.086
_cell_length_c 4.520
_cell_angle_alpha 90.00
_cell_angle_beta 90.00
_cell_angle_gamma 90.00
loop_
_atom_site_label
_atom_site_type_symbol
_atom_site_fract_x
_atom_site_fract_y
_atom_site_fract_z
_atom_site_occupancy
K1 K 0.000 0.500 0.000 1
Be1 Be 0.000 0.000 0.000 1
Al1 Al 0.500 0.500 0.500 1
Hg1 Hg 0.000 0.000 0.500 1
```

---

Entry 7:
VASP calculation (SCAN) on a PBEsol-optimized structure of BeAl2HgOs.

Total energy in eV/atom: -30.98

CIF file:
```
data_BeAl2HgOs
_chemical_formula_sum 'Be1 Al2 Hg1 Os1'
_symmetry_space_group_name_H-M 'P 4/m m m'
_symmetry_Int_Tables_number 123
_symmetry_space_group_name_Hall '-P 4 2'
_cell_length_a 4.227
_cell_length_b 4.227
_cell_length_c 4.379
_cell_angle_alpha 90.00
_cell_angle_beta 90.00
_cell_angle_gamma 90.00
loop_
_atom_site_label
_atom_site_type_symbol
_atom_site_fract_x
_atom_site_fract_y
_atom_site_fract_z
_atom_site_occupancy
Be1 Be 0.000 0.000 0.000 1
Al1 Al 0.000 0.500 0.000 1
Hg1 Hg 0.000 0.000 0.500 1
Os1 Os 0.500 0.500 0.500 1
```

---

Entry 8:
VASP calculation (SCAN) on a PBEsol-optimized structure of BeAl3I.

Formation energy without anion corrections in eV per atom: 1.764

CIF file:
```
data_BeAl3I
_chemical_formula_sum 'Be1 Al3 I1'
_symmetry_space_group_name_H-M 'P m -3 m'
_symmetry_Int_Tables_number 221
_symmetry_space_group_name_Hall '-P 4 2 3'
_cell_length_a 5.643
_cell_length_b 5.643
_cell_length_c 5.643
_cell_angle_alpha 90.00
_cell_angle_beta 90.00
_cell_angle_gamma 90.00
loop_
_atom_site_label
_atom_site_type_symbol
_atom_site_fract_x
_atom_site_fract_y
_atom_site_fract_z
_atom_site_occupancy
Be1 Be 0.000 0.000 0.000 1
Al1 Al 0.000 0.500 0.500 1
I1 I 0.500 0.500 0.500 1
```

---

Entry 9:
VASP calculation (SCAN) on a PBEsol-optimized structure of Be2AlIn.

Energy above the lowest structure with this stoichiometry in eV/f.u.: 0.50

CIF file:
```
data_Be2AlIn
_chemical_formula_sum 'Be8 Al4 In4'
_symmetry_space_group_name_H-M 'F m -3 m'
_symmetry_Int_Tables_number 225
_symmetry_space_group_name_Hall '-F 4 2 3'
_cell_length_a 6.156
_cell_length_b 6.156
_cell_length_c 6.156
_cell_angle_alpha 90.00
_cell_angle_beta 90.00
_cell_angle_gamma 90.00
loop_
_atom_site_label
_atom_site_type_symbol
_atom_site_fract_x
_atom_site_fract_y
_atom_site_fract_z
_atom_site_occupancy
Be1 Be 0.250 0.250 0.250 1
Al1 Al 0.000 0.000 0.000 1
In1 In 0.000 0.000 0.500 1
```

---

Entry 10:
VASP calculation (SCAN) on a PBEsol-optimized structure of Be3AlIn.

Total energy in eV/atom: -9.82

CIF file:
```
data_Be3AlIn
_chemical_formula_sum 'Be3 Al1 In1'
_symmetry_space_group_name_H-M 'P m -3 m'
_symmetry_Int_Tables_number 221
_symmetry_space_group_name_Hall '-P 4 2 3'
_cell_length_a 4.416
_cell_length_b 4.416
_cell_length_c 4.416
_cell_angle_alpha 90.00
_cell_angle_beta 90.00
_cell_angle_gamma 90.00
loop_
_atom_site_label
_atom_site_type_symbol
_atom_site_fract_x
_atom_site_fract_y
_atom_site_fract_z
_atom_site_occupancy
Be1 Be 0.000 0.000 0.500 1
Al1 Al 0.000 0.000 0.000 1
In1 In 0.500 0.500 0.500 1
```

---

Entry 11:
VASP calculation (SCAN) on a PBEsol-optimized structure of Be2AlIn.

Energy above the lowest structure with this stoichiometry in eV/f.u.: 0.00

CIF file:
```
data_Be2AlIn
_chemical_formula_sum 'Be2 Al1 In1'
_symmetry_space_group_name_H-M 'P 4 m m'
_symmetry_Int_Tables_number 99
_cell_length_a 2.786
_cell_length_b 2.786
_cell_length_c 7.555
_cell_angle_alpha 90.00
_cell_angle_beta 90.00
_cell_angle_gamma 90.00
loop_
_symmetry_equiv_pos_as_xyz
'x,y,z'
'-y,x,z'
'-x,-y,z'
'y,-x,z'
'-x,y,z'
'y,x,z'
'x,-y,z'
'-y,-x,z'
loop_
_atom_site_label
_atom_site_type_symbol
_atom_site_fract_x
_atom_site_fract_y
_atom_site_fract_z
_atom_site_occupancy
Be1 Be 0.000 0.000 0.000 1
Be2 Be 0.500 0.500 0.157 1
Al1 Al 0.500 0.500 0.776 1
In1 In 0.000 0.000 0.432 1
```

---

Entry 12:
VASP calculation (SCAN) on a PBEsol-optimized structure of BeAl2In.

Energy above the lowest structure with this stoichiometry in eV/f.u.: 0.23

CIF file:
```
data_BeAl2In
_chemical_formula_sum 'Be1 Al2 In1'
_symmetry_space_group_name_H-M 'P m m 2'
_symmetry_Int_Tables_number 25
_cell_length_a 2.803
_cell_length_b 3.713
_cell_length_c 6.487
_cell_angle_alpha 90.00
_cell_angle_beta 90.00
_cell_angle_gamma 90.00
loop_
_symmetry_equiv_pos_as_xyz
'x,y,z'
'-x,-y,z'
'-x,y,z'
'x,-y,z'
loop_
_atom_site_label
_atom_site_type_symbol
_atom_site_fract_x
_atom_site_fract_y
_atom_site_fract_z
_atom_site_occupancy
Be1 Be 0.000 0.000 0.000 1
Al1 Al 0.000 0.000 0.598 1
Al2 Al 0.500 0.500 0.837 1
In1 In 0.500 0.500 0.282 1
```

---

Entry 13:
VASP calculation (SCAN) on a PBEsol-optimized structure of Be2AlIn.

Energy above the lowest structure with this stoichiometry in eV/f.u.: 0.35

CIF file:
```
data_Be2AlIn
_chemical_formula_sum 'Be4 Al2 In2'
_symmetry_space_group_name_H-M 'C m m m'
_symmetry_Int_Tables_number 65
_symmetry_space_group_name_Hall '-C 2 2'
_cell_length_a 5.506
_cell_length_b 7.399
_cell_length_c 2.844
_cell_angle_alpha 90.00
_cell_angle_beta 90.00
_cell_angle_gamma 90.00
loop_
_atom_site_label
_atom_site_type_symbol
_atom_site_fract_x
_atom_site_fract_y
_atom_site_fract_z
_atom_site_occupancy
Be1 Be 0.250 0.250 0.000 1
Al1 Al 0.000 0.000 0.500 1
In1 In 0.000 0.500 0.500 1
```

---

Entry 14:
VASP calculation (SCAN) on a PBEsol-optimized structure of BeAl2In.

Energy above the lowest structure with this stoichiometry in eV/f.u.: 0.43

CIF file:
```
data_BeAl2In
_chemical_formula_sum 'Be1 Al2 In1'
_symmetry_space_group_name_H-M 'P 1 2/m 1'
_symmetry_Int_Tables_number 10
_cell_length_a 3.985
_cell_length_b 4.025
_cell_length_c 4.764
_cell_angle_alpha 90.00
_cell_angle_beta 108.54
_cell_angle_gamma 90.00
loop_
_symmetry_equiv_pos_as_xyz
'x,y,z'
'-x,-y,-z'
'-x,y,-z'
'x,-y,z'
loop_
_atom_site_label
_atom_site_type_symbol
_atom_site_fract_x
_atom_site_fract_y
_atom_site_fract_z
_atom_site_occupancy
Be1 Be 0.000 0.000 0.000 1
Al1 Al 0.155 0.500 0.793 1
In1 In 0.500 0.000 0.500 1
```

---

Entry 15:
VASP calculation (SCAN) on a PBEsol-optimized structure of Be2AlIn.

Energy above the lowest structure with this stoichiometry in eV/f.u.: 0.32

CIF file:
```
data_Be2AlIn
_chemical_formula_sum 'Be4 Al2 In2'
_symmetry_space_group_name_H-M 'I 4/m m m'
_symmetry_Int_Tables_number 139
_symmetry_space_group_name_Hall '-I 4 2'
_cell_length_a 3.931
_cell_length_b 3.931
_cell_length_c 7.500
_cell_angle_alpha 90.00
_cell_angle_beta 90.00
_cell_angle_gamma 90.00
loop_
_atom_site_label
_atom_site_type_symbol
_atom_site_fract_x
_atom_site_fract_y
_atom_site_fract_z
_atom_site_occupancy
Be1 Be 0.000 0.500 0.250 1
Al1 Al 0.000 0.000 0.000 1
In1 In 0.000 0.000 0.500 1
```

---

Entry 16:
VASP calculation (SCAN) on a PBEsol-optimized structure of BeAl2In.

Energy above the lowest structure with this stoichiometry in eV/f.u.: 0.00

CIF file:
```
data_BeAl2In
_chemical_formula_sum 'Be1 Al2 In1'
_symmetry_space_group_name_H-M 'P 4/m m m'
_symmetry_Int_Tables_number 123
_symmetry_space_group_name_Hall '-P 4 2'
_cell_length_a 2.915
_cell_length_b 2.915
_cell_length_c 7.774
_cell_angle_alpha 90.00
_cell_angle_beta 90.00
_cell_angle_gamma 90.00
loop_
_atom_site_label
_atom_site_type_symbol
_atom_site_fract_x
_atom_site_fract_y
_atom_site_fract_z
_atom_site_occupancy
Be1 Be 0.000 0.000 0.000 1
Al1 Al 0.500 0.500 0.193 1
In1 In 0.000 0.000 0.500 1
```

---

Entry 17:
VASP calculation (SCAN) on a PBEsol-optimized structure of BeAl2InO.

Formation energy without anion corrections in eV per atom: 0.350

CIF file:
```
data_BeAl2InO
_chemical_formula_sum 'Be1 Al2 In1 O1'
_symmetry_space_group_name_H-M 'P 4/m m m'
_symmetry_Int_Tables_number 123
_symmetry_space_group_name_Hall '-P 4 2'
_cell_length_a 4.169
_cell_length_b 4.169
_cell_length_c 4.680
_cell_angle_alpha 90.00
_cell_angle_beta 90.00
_cell_angle_gamma 90.00
loop_
_atom_site_label
_atom_site_type_symbol
_atom_site_fract_x
_atom_site_fract_y
_atom_site_fract_z
_atom_site_occupancy
Be1 Be 0.000 0.000 0.000 1
Al1 Al 0.000 0.500 0.000 1
In1 In 0.000 0.000 0.500 1
O1 O 0.500 0.500 0.500 1
```

---

Entry 18:
VASP calculation (SCAN) on a PBEsol-optimized structure of BeAlZnIn2.

Total energy in eV/atom: -18.02

CIF file:
```
data_BeAlZnIn2
_chemical_formula_sum 'Be1 Al1 Zn1 In2'
_symmetry_space_group_name_H-M 'P 4/m m m'
_symmetry_Int_Tables_number 123
_symmetry_space_group_name_Hall '-P 4 2'
_cell_length_a 4.884
_cell_length_b 4.884
_cell_length_c 4.342
_cell_angle_alpha 90.00
_cell_angle_beta 90.00
_cell_angle_gamma 90.00
loop_
_atom_site_label
_atom_site_type_symbol
_atom_site_fract_x
_atom_site_fract_y
_atom_site_fract_z
_atom_site_occupancy
Be1 Be 0.000 0.000 0.000 1
Al1 Al 0.000 0.000 0.500 1
Zn1 Zn 0.500 0.500 0.500 1
In1 In 0.000 0.500 0.000 1
```

---

Entry 19:
VASP calculation (SCAN) on a PBEsol-optimized structure of BeAlIr2.

Energy above the lowest structure with this stoichiometry in eV/f.u.: 1.58

CIF file:
```
data_BeAlIr2
_chemical_formula_sum 'Be2 Al2 Ir4'
_symmetry_space_group_name_H-M 'C 1 2/m 1'
_symmetry_Int_Tables_number 12
_cell_length_a 8.046
_cell_length_b 2.815
_cell_length_c 4.710
_cell_angle_alpha 90.00
_cell_angle_beta 107.11
_cell_angle_gamma 90.00
loop_
_symmetry_equiv_pos_as_xyz
'x,y,z'
'-x,-y,-z'
'-x,y,-z'
'x,-y,z'
'x+1/2,y+1/2,z'
'-x+1/2,-y+1/2,-z'
'-x+1/2,y+1/2,-z'
'x+1/2,-y+1/2,z'
loop_
_atom_site_label
_atom_site_type_symbol
_atom_site_fract_x
_atom_site_fract_y
_atom_site_fract_z
_atom_site_occupancy
Be1 Be 0.000 0.000 0.000 1
Al1 Al 0.000 0.500 0.500 1
Ir1 Ir 0.233 0.500 0.229 1
```

---

Entry 20:
VASP calculation (SCAN) on a PBEsol-optimized structure of BeAlIr2.

Energy above the lowest structure with this stoichiometry in eV/f.u.: 1.68

CIF file:
```
data_BeAlIr2
_chemical_formula_sum 'Be3 Al3 Ir6'
_symmetry_space_group_name_H-M 'R -3 m'
_symmetry_Int_Tables_number 166
_symmetry_space_group_name_Hall '-R 3 2"'
_cell_length_a 2.7881
_cell_length_b 2.7881
_cell_length_c 22.6025
_cell_angle_alpha 90.00
_cell_angle_beta 90.00
_cell_angle_gamma 120.00
loop_
_atom_site_label
_atom_site_type_symbol
_atom_site_fract_x
_atom_site_fract_y
_atom_site_fract_z
_atom_site_occupancy
Be1 Be 0.0000 0.0000 0.0000 1
Al1 Al 0.0000 0.0000 0.5000 1
Ir1 Ir 0.0000 0.0000 0.2555 1
```

---

So what do the calculations give for N(E_F)? Going down the list: 0.000, 1.214, 1.281, 2.161, 3.604, 4.331, 2.580, 3.307, 1.516, 2.384, 1.199, 1.488, 1.426, 1.282, 1.163, 1.181, 1.298, 1.596, 1.535, 1.457 states/eV/f.u..
So what do the calculations give for magnetization? Going down the list: 0.00, 0.00, 0.00, 0.00, 0.00, 0.00, 0.74, 0.00, 0.01, 0.00, 0.00, 0.02, 0.01, 0.00, 0.02, 0.00, 0.00, 0.00, 0.00, 0.00 μB/f.u..